The following is a DFT calculation (GGA-PBE) of a relaxed structure of LiTbLuBe.

abc: 4.943 4.943 4.943
angles: 60.00 60.00 60.00
Atoms (fractional coordinates):
Be (0.500, 0.500, 0.500)
Li (0.000, 0.000, 0.000)
Tb (0.750, 0.750, 0.750)
Lu (0.250, 0.250, 0.250)

Computed properties:
Spin magnetization = 0.00 μB/f.u.
V = 21.35 Å³/atom
Theoretical density = 6.804 g/cm³
Raw total energy = -3.57 eV/atom